Density functional theory data (PBE-GGA) for a relaxed structure of SiSO3.

Output
The total magnetization comes out at 0.0 μB per formula unit. The density of states at the Fermi level is 1.70 states/eV/cell. Its uncorrected formation energy is -3.99 eV/f.u.

```
SiSO3
1.0
3.540 0.000 0.000
0.000 3.540 0.000
0.000 0.000 3.540
O Si S
3 1 1
Direct
0.000 0.500 0.000 O
0.500 0.000 0.000 O
0.000 0.000 0.500 O
0.000 0.000 0.000 Si
0.500 0.500 0.500 S
```

Density functional theory data (PBE-GGA) for a relaxed structure of SiS3O.

Output
The total magnetization comes out at 0.0 μB per formula unit. The density of states at the Fermi level is 8.10 states/eV/cell. Its uncorrected formation energy is 4.97 eV/f.u. The energy relative to the lowest polymorph listed for this composition comes out at 143 meV per atom.

```
SiS3O
1.0
4.399 0.000 0.000
0.000 4.399 0.000
0.000 0.000 4.399
S O Si
3 1 1
Direct
0.000 0.500 0.000 S
0.000 0.000 0.500 S
0.500 0.000 0.000 S
0.500 0.500 0.500 O
0.000 0.000 0.000 Si
```

Density functional theory data (PBE-GGA) for a relaxed structure of SiS3O.

Output
The total magnetization comes out at 0.0 μB per formula unit. The density of states at the Fermi level is 1.87 states/eV/cell. Its uncorrected formation energy is 4.26 eV/f.u. The energy relative to the lowest polymorph listed for this composition comes out at 0 meV per atom.

```
SiS3O
1.0
-0.896 -3.691 -1.911
3.082 0.722 -2.839
2.789 -1.984 2.523
S Si O
3 1 1
Direct
0.000 0.500 0.000 S
0.500 0.000 0.000 S
0.000 0.000 0.500 S
0.500 0.500 0.500 Si
0.000 0.000 0.000 O
```

Density functional theory data (PBE-GGA) for a relaxed structure of Si3SO.

Output
The total magnetization comes out at 0.0 μB per formula unit. The density of states at the Fermi level is 2.37 states/eV/cell. Its uncorrected formation energy is 2.50 eV/f.u. The energy relative to the lowest polymorph listed for this composition comes out at 0 meV per atom.

```
Si3SO
1.0
4.314 0.000 0.000
0.000 4.314 0.000
0.000 0.000 4.314
O Si S
1 3 1
Direct
0.000 0.000 0.000 O
0.000 0.000 0.500 Si
0.500 0.000 0.000 Si
0.000 0.500 0.000 Si
0.500 0.500 0.500 S
```

Density functional theory data (PBE-GGA) for a relaxed structure of Si3SO.

Output
The total magnetization comes out at 1.2 μB per formula unit. The density of states at the Fermi level is 3.40 states/eV/cell. Its uncorrected formation energy is 6.48 eV/f.u. The energy relative to the lowest polymorph listed for this composition comes out at 796 meV per atom.

```
Si3SO
1.0
4.581 0.000 0.000
0.000 4.581 0.000
0.000 0.000 4.581
Si S O
3 1 1
Direct
0.000 0.000 0.500 Si
0.500 0.000 0.000 Si
0.000 0.500 0.000 Si
0.000 0.000 0.000 S
0.500 0.500 0.500 O
```

Density functional theory data (PBE-GGA) for a relaxed structure of SiS2O8.

Output
The total magnetization comes out at 0.0 μB per formula unit. The density of states at the Fermi level is 0.00 states/eV/cell. Its uncorrected formation energy is -16.05 eV/f.u. The energy relative to the lowest polymorph listed for this composition comes out at 0 meV per atom.

```
SiS2O8
1.0
-3.257 -2.811 0.777
1.440 -0.556 5.953
-3.898 4.448 1.685
O S Si
8 2 1
Direct
0.210 0.972 0.242 O
0.699 0.158 0.158 O
0.301 0.842 0.842 O
0.288 0.353 0.353 O
0.712 0.647 0.647 O
0.790 0.758 0.028 O
0.210 0.242 0.972 O
0.790 0.028 0.758 O
0.640 0.804 0.804 S
0.360 0.196 0.196 S
0.000 0.000 0.000 Si
```

Density functional theory data (PBE-GGA) for a relaxed structure of SiSO3.

Output
The total magnetization comes out at 0.0 μB per formula unit. The density of states at the Fermi level is 0.00 states/eV/cell. Its uncorrected formation energy is 0.11 eV/f.u.

```
SiSO3
1.0
-0.852 -1.186 -3.445
2.182 -2.999 0.493
-2.917 -1.897 1.375
O Si S
3 1 1
Direct
0.000 0.500 0.000 O
0.500 0.000 0.000 O
0.000 0.000 0.500 O
0.500 0.500 0.500 Si
0.000 0.000 0.000 S
```

Density functional theory data (PBE-GGA) for a relaxed structure of Sm4Si2S3O7.

Output
The total magnetization comes out at 0.0 μB per formula unit. The density of states at the Fermi level is 0.00 states/eV/cell. Its uncorrected formation energy is -45.73 eV/f.u.

```
Sm4Si2S3O7
1.0
-10.008 -4.229 -1.492
8.176 -7.101 -1.736
2.114 2.985 10.339
Sm O S Si
16 28 12 8
Direct
0.236 0.204 0.968 Sm
0.736 0.718 0.454 Sm
0.236 0.032 0.269 Sm
0.764 0.731 0.968 Sm
0.264 0.718 0.981 Sm
0.764 0.032 0.796 Sm
0.264 0.546 0.282 Sm
0.000 0.672 0.328 Sm
0.344 0.672 0.672 Sm
0.156 0.078 0.578 Sm
0.500 0.078 0.922 Sm
0.500 0.422 0.578 Sm
0.844 0.422 0.922 Sm
0.656 0.328 0.328 Sm
0.736 0.019 0.282 Sm
0.000 0.328 0.672 Sm
0.738 0.211 0.191 O
0.762 0.539 0.059 O
0.000 0.227 0.227 O
0.520 0.297 0.059 O
0.262 0.453 0.473 O
0.520 0.223 0.461 O
0.500 0.523 0.023 O
0.000 0.773 0.773 O
0.480 0.539 0.777 O
0.229 0.200 0.430 O
0.729 0.180 0.450 O
0.480 0.941 0.703 O
0.500 0.977 0.477 O
0.262 0.809 0.789 O
0.771 0.570 0.800 O
0.238 0.297 0.777 O
0.980 0.453 0.191 O
0.738 0.527 0.547 O
0.238 0.941 0.461 O
0.980 0.527 0.789 O
0.229 0.029 0.800 O
0.762 0.223 0.703 O
0.271 0.550 0.820 O
0.771 0.200 0.971 O
0.729 0.550 0.279 O
0.271 0.721 0.450 O
0.020 0.809 0.547 O
0.020 0.211 0.473 O
0.000 0.500 0.500 S
0.898 0.875 0.273 S
0.398 0.023 0.125 S
0.898 0.023 0.625 S
0.500 0.750 0.250 S
0.602 0.875 0.977 S
0.398 0.375 0.273 S
0.500 0.250 0.750 S
0.102 0.375 0.977 S
0.000 0.000 0.000 S
0.102 0.727 0.125 S
0.602 0.727 0.625 S
0.375 0.472 0.848 Si
0.875 0.598 0.722 Si
0.125 0.847 0.722 Si
0.625 0.152 0.528 Si
0.875 0.278 0.153 Si
0.375 0.903 0.528 Si
0.625 0.472 0.097 Si
0.125 0.278 0.402 Si
```

Density functional theory data (PBE-GGA) for a relaxed structure of Sr2SiS8O28.

Output
The total magnetization comes out at 0.0 μB per formula unit. The density of states at the Fermi level is 0.00 states/eV/cell. Its uncorrected formation energy is -62.36 eV/f.u.

```
Sr2SiS8O28
1.0
7.134 -0.010 0.000
-1.555 12.438 0.000
0.000 0.000 13.174
S O Si Sr
16 56 2 4
Direct
0.787 0.606 0.029 S
0.967 0.225 0.083 S
0.458 0.589 0.714 S
0.213 0.394 0.971 S
0.287 0.106 0.471 S
0.331 0.059 0.853 S
0.542 0.411 0.286 S
0.713 0.894 0.529 S
0.669 0.941 0.147 S
0.033 0.775 0.917 S
0.169 0.441 0.353 S
0.467 0.725 0.417 S
0.042 0.911 0.214 S
0.533 0.275 0.583 S
0.958 0.089 0.786 S
0.831 0.559 0.647 S
0.120 0.157 0.451 O
0.255 0.999 0.513 O
0.012 0.367 0.386 O
0.609 0.470 0.383 O
0.620 0.657 0.049 O
0.063 0.374 0.897 O
0.437 0.360 0.525 O
0.745 0.001 0.487 O
0.964 0.016 0.703 O
0.536 0.484 0.203 O
0.880 0.843 0.549 O
0.321 0.361 0.314 O
0.632 0.316 0.272 O
0.948 0.198 0.189 O
0.464 0.516 0.797 O
0.937 0.860 0.975 O
0.273 0.500 0.442 O
0.821 0.861 0.186 O
0.552 0.302 0.689 O
0.512 0.867 0.114 O
0.140 0.515 0.273 O
0.125 0.324 0.081 O
0.375 0.176 0.581 O
0.380 0.343 0.951 O
0.563 0.874 0.603 O
0.640 0.015 0.227 O
0.868 0.184 0.772 O
0.937 0.626 0.103 O
0.179 0.139 0.814 O
0.301 0.748 0.470 O
0.391 0.530 0.617 O
0.563 0.640 0.475 O
0.052 0.802 0.811 O
0.132 0.816 0.228 O
0.036 0.984 0.297 O
0.360 0.985 0.773 O
0.773 0.000 0.058 O
0.988 0.633 0.614 O
0.368 0.684 0.728 O
0.227 0.000 0.942 O
0.063 0.140 0.025 O
0.755 0.499 0.987 O
0.679 0.639 0.686 O
0.448 0.698 0.311 O
0.875 0.676 0.919 O
0.245 0.501 0.013 O
0.699 0.252 0.530 O
0.109 0.970 0.117 O
0.801 0.248 0.030 O
0.727 0.500 0.558 O
0.437 0.126 0.397 O
0.891 0.030 0.883 O
0.199 0.752 0.970 O
0.860 0.485 0.727 O
0.488 0.133 0.886 O
0.625 0.824 0.419 O
0.500 0.500 0.500 Si
0.000 0.000 0.000 Si
0.200 0.841 0.635 Sr
0.700 0.341 0.865 Sr
0.300 0.659 0.135 Sr
0.800 0.159 0.365 Sr
```

Please write out number 6 again, unchanged.
Density functional theory data (PBE-GGA) for a relaxed structure of SiS2O8.

Output
The total magnetization comes out at 0.0 μB per formula unit. The density of states at the Fermi level is 0.00 states/eV/cell. Its uncorrected formation energy is -16.05 eV/f.u. The energy relative to the lowest polymorph listed for this composition comes out at 0 meV per atom.

```
SiS2O8
1.0
-3.257 -2.811 0.777
1.440 -0.556 5.953
-3.898 4.448 1.685
O S Si
8 2 1
Direct
0.210 0.972 0.242 O
0.699 0.158 0.158 O
0.301 0.842 0.842 O
0.288 0.353 0.353 O
0.712 0.647 0.647 O
0.790 0.758 0.028 O
0.210 0.242 0.972 O
0.790 0.028 0.758 O
0.640 0.804 0.804 S
0.360 0.196 0.196 S
0.000 0.000 0.000 Si
```

What did the second record say?
Density functional theory data (PBE-GGA) for a relaxed structure of SiS3O.

Output
The total magnetization comes out at 0.0 μB per formula unit. The density of states at the Fermi level is 8.10 states/eV/cell. Its uncorrected formation energy is 4.97 eV/f.u. The energy relative to the lowest polymorph listed for this composition comes out at 143 meV per atom.

```
SiS3O
1.0
4.399 0.000 0.000
0.000 4.399 0.000
0.000 0.000 4.399
S O Si
3 1 1
Direct
0.000 0.500 0.000 S
0.000 0.000 0.500 S
0.500 0.000 0.000 S
0.500 0.500 0.500 O
0.000 0.000 0.000 Si
```